# 1
A relaxed Nd7In crystal, computed with PBE-GGA.

Unit cell a=7.204 b=7.204 c=7.204 alpha=60.00 beta=60.00 gamma=60.00
Sites, in units of the cell vectors:
Nd: 0.000 0.500 0.000
Nd: 0.000 0.500 0.500
Nd: 0.500 0.500 0.000
Nd: 0.500 0.000 0.000
Nd: 0.500 0.000 0.500
Nd: 0.500 0.500 0.500
Nd: 0.000 0.000 0.500
In: 0.000 0.000 0.000

E_tot = -4.5963 eV per atom
Mass density = 7.1 g cm⁻³
E_form = -8 kJ per mole of atoms
Space-group type = No. 225



# 2
A relaxed SiIBrN2 crystal, computed with PBE-GGA.

Unit cell a=4.113 b=4.113 c=7.019 alpha=90.00 beta=90.00 gamma=90.00
Last column: magnetic moment on the atom in μB.
Sites, in units of the cell vectors:
N: 0.000 0.500 0.000  0.83
N: 0.500 0.000 0.000  0.83
I: 0.000 0.000 0.500  0.00
Si: 0.500 0.500 0.500  -0.17
Br: 0.000 0.000 0.000  0.03

E_tot = -2.8657 eV per atom
Mass density = 3.7 g cm⁻³
Energy relative to the elements, uncorrected = 2.194 eV/atom
Space-group type = No. 123
Offset from the most stable computed form = 25.95 kcal/mol of atoms



# 3
A relaxed RbNaTlSe2 crystal, computed with PBE-GGA.

Unit cell a=5.345 b=7.682 c=9.633 alpha=100.78 beta=90.00 gamma=110.36
Sites, in units of the cell vectors:
Tl: 0.939 0.879 0.788
Tl: 0.061 0.121 0.212
Se: 0.868 0.736 0.067
Se: 0.402 0.804 0.692
Se: 0.132 0.264 0.933
Se: 0.598 0.196 0.308
Rb: 0.349 0.699 0.328
Rb: 0.651 0.301 0.672
Na: 0.337 0.673 0.950
Na: 0.663 0.327 0.050

E_tot = -3.1229 eV per atom
Mass density = 4.3 g cm⁻³
Energy relative to the elements, uncorrected = -0.798 eV/atom
Space-group type = No. 12



# 4
A relaxed Tl2TcRu crystal, computed with PBE-GGA.

Unit cell a=7.526 b=7.526 c=6.090 alpha=51.84 beta=51.84 gamma=90.00
Last column: magnetic moment on the atom in μB.
Sites, in units of the cell vectors:
Tl: 0.375 0.369 0.750  -0.03
Tl: 0.119 0.625 0.250  -0.04
Tl: 0.875 0.881 0.750  -0.04
Tl: 0.631 0.125 0.250  -0.03
Tc: 0.500 0.500 0.000  1.99
Tc: 0.250 0.750 0.500  2.00
Ru: 0.750 0.250 0.500  1.00
Ru: 0.000 0.000 0.000  1.00

E_tot = -4.9714 eV per atom
Mass density = 12.0 g cm⁻³
E_form = 108 kJ per mole of atoms
Space-group type = No. 122
Offset from the most stable computed form = 16.84 kcal/mol of atoms



| no. | M_tot (μB/cell) |
| --- | --- |
| 1 | 0.000 |
| 2 | 1.883 |
| 3 | 0.000 |
| 4 | 6.228 |